Computed, not measured: a geometry-optimized CaIrRuO6 structure at the GGA-PBE level of DFT.

abc: 5.2545 5.2545 8.6925
angles: 90.00 90.00 120.00
Closest atoms and distances in Å follow each position.
Fractional coordinates of all 18 atoms:
Ca  0.3333  0.6667  0.2500  6 O 2.26
Ca  0.6667  0.3333  0.7500  6 O 2.26
Ir  0.3333  0.6667  0.7500  6 O 1.99
Ir  0.6667  0.3333  0.2500  6 O 1.99
Ru  0.0000  0.0000  0.0000  6 O 1.98
Ru  0.0000  0.0000  0.5000  6 O 1.98
O  0.0418  0.3400  0.6186  1 Ru 1.98, 1 Ir 1.99
O  0.0418  0.7018  0.8814  1 Ru 1.98, 1 Ir 1.99
O  0.2982  0.3400  0.8814  1 Ru 1.98, 1 Ir 1.99
O  0.2982  0.9582  0.6186  1 Ru 1.98, 1 Ir 1.99
O  0.3400  0.0418  0.1186  1 Ru 1.98, 1 Ir 1.99
O  0.3400  0.2982  0.3814  1 Ru 1.98, 1 Ir 1.99
O  0.6600  0.7018  0.6186  1 Ru 1.98, 1 Ir 1.99
O  0.6600  0.9582  0.8814  1 Ru 1.98, 1 Ir 1.99
O  0.7018  0.0418  0.3814  1 Ru 1.98, 1 Ir 1.99
O  0.7018  0.6600  0.1186  1 Ru 1.98, 1 Ir 1.99
O  0.9582  0.2982  0.1186  1 Ru 1.98, 1 Ir 1.99
O  0.9582  0.6600  0.3814  1 Ru 1.98, 1 Ir 1.99

Properties
Space-group type ... No. 163
Formation energy (no corrections) ... -1179 meV/atom
VASP energy ... -6.722 eV/atom


Computed, not measured: a geometry-optimized CrPbCl2 structure at the GGA-PBE level of DFT.

abc: 5.1874 3.4138 6.3742
angles: 90.00 103.82 90.00
Closest atoms and distances in Å follow each position.
Fractional coordinates of all 4 atoms:
Cr  0.0000  0.0000  0.0000  3 Cl 2.30-2.40
Pb  0.4855  0.5000  0.9157  3 Cl 3.04-3.10, 4 Cr 3.10-3.19
Cl  0.1714  0.5000  0.2612  2 Cr 2.40
Cl  0.7799  0.0000  0.6409  1 Cr 2.30

Properties
Space-group type ... No. 6
Formation energy (no corrections) ... -399 meV/atom
VASP energy ... -4.655 eV/atom


Computed, not measured: a geometry-optimized NaUAlS4 structure at the GGA-PBE level of DFT.

abc: 7.7809 7.7809 7.7809
angles: 124.08 116.34 89.77
Closest atoms and distances in Å follow each position.
Fractional coordinates of all 14 atoms:
Na  0.4028  0.1528  0.2500  4 S 2.68-2.72
Na  0.5972  0.8472  0.7500  4 S 2.68-2.72
U  0.0000  0.5000  0.5000  6 S 2.70-2.75
U  0.5000  0.5000  0.0000  6 S 2.70-2.75
Al  0.0000  0.0000  0.5000  6 S 2.44-2.56
Al  0.0000  0.5000  0.0000  6 S 2.44-2.56
S  0.1936  0.7461  0.4475  2 Al 2.44, 1 Na 2.72
S  0.2015  0.2539  0.9475  2 Al 2.44, 1 Na 2.72
S  0.2321  0.2437  0.5116  1 Al 2.56, 1 Na 2.68, 2 U 2.70
S  0.2321  0.7205  0.9884  1 Al 2.56, 1 Na 2.68, 2 U 2.70
S  0.7679  0.2795  0.0116  1 Al 2.56, 1 Na 2.68, 2 U 2.70
S  0.7679  0.7563  0.4884  1 Al 2.56, 1 Na 2.68, 2 U 2.70
S  0.7985  0.7461  0.0525  2 Al 2.44, 1 Na 2.72
S  0.8064  0.2539  0.5525  2 Al 2.44, 1 Na 2.72

Properties
Space-group type ... No. 74
Formation energy (no corrections) ... -1175 meV/atom
VASP energy ... -5.869 eV/atom


Look up the VASP energy of the third one.
-5.869 eV/atom


Please write out number 1 again, unchanged.
Computed, not measured: a geometry-optimized CaIrRuO6 structure at the GGA-PBE level of DFT.

abc: 5.2545 5.2545 8.6925
angles: 90.00 90.00 120.00
Closest atoms and distances in Å follow each position.
Fractional coordinates of all 18 atoms:
Ca  0.3333  0.6667  0.2500  6 O 2.26
Ca  0.6667  0.3333  0.7500  6 O 2.26
Ir  0.3333  0.6667  0.7500  6 O 1.99
Ir  0.6667  0.3333  0.2500  6 O 1.99
Ru  0.0000  0.0000  0.0000  6 O 1.98
Ru  0.0000  0.0000  0.5000  6 O 1.98
O  0.0418  0.3400  0.6186  1 Ru 1.98, 1 Ir 1.99
O  0.0418  0.7018  0.8814  1 Ru 1.98, 1 Ir 1.99
O  0.2982  0.3400  0.8814  1 Ru 1.98, 1 Ir 1.99
O  0.2982  0.9582  0.6186  1 Ru 1.98, 1 Ir 1.99
O  0.3400  0.0418  0.1186  1 Ru 1.98, 1 Ir 1.99
O  0.3400  0.2982  0.3814  1 Ru 1.98, 1 Ir 1.99
O  0.6600  0.7018  0.6186  1 Ru 1.98, 1 Ir 1.99
O  0.6600  0.9582  0.8814  1 Ru 1.98, 1 Ir 1.99
O  0.7018  0.0418  0.3814  1 Ru 1.98, 1 Ir 1.99
O  0.7018  0.6600  0.1186  1 Ru 1.98, 1 Ir 1.99
O  0.9582  0.2982  0.1186  1 Ru 1.98, 1 Ir 1.99
O  0.9582  0.6600  0.3814  1 Ru 1.98, 1 Ir 1.99

Properties
Space-group type ... No. 163
Formation energy (no corrections) ... -1179 meV/atom
VASP energy ... -6.722 eV/atom


Which value of formation energy (no corrections) does entry 3 give?
-1175 meV/atom